First-principles (PBE) data for a relaxed structure of K2ScP2, as listed in Alexandria via LeMat-Bulk.

symmetry	P4/mbm, No. 127
total magnetization	0.89	μB/f.u.
uncorrected energy	-4.29	eV per atom
theoretical density	2.4	g/cm³

Cell lengths 6.8404, 6.8404, 5.5306 Å; angles 90.00, 90.00, 90.00 degrees
Last column: nearest neighbours and their distance in Å.
Fractional positions:
Sc: 0.5000 0.5000 0.0000  4 P 2.74
Sc: 0.0000 0.0000 0.0000  4 P 2.74
P: 0.6176 0.1176 0.0000  1 P 2.28
P: 0.3824 0.8824 0.0000  1 P 2.28
P: 0.1176 0.3824 0.0000  1 P 2.28
P: 0.8824 0.6176 0.0000  1 P 2.28
K: 0.3294 0.1706 0.5000  5 K 3.30-3.59, 6 P 3.42-3.44
K: 0.8294 0.3294 0.5000  5 K 3.30-3.59, 6 P 3.42-3.44
K: 0.1706 0.6706 0.5000  5 K 3.30-3.59, 6 P 3.42-3.44
K: 0.6706 0.8294 0.5000  5 K 3.30-3.59, 6 P 3.42-3.44